Entry 1:
# Ac6Si2S3Cl

A geometry-optimized Ac6Si2S3Cl structure (PBE, the Alexandria database).

The structure in CIF format:
```
data_Ac6Si2S3Cl
_cell_length_a 19.2423
_cell_length_b 4.4427
_cell_length_c 8.8478
_cell_angle_alpha 90.00
_cell_angle_beta 102.82
_cell_angle_gamma 90.00
_space_group_name_H-M_alt 'C 1 2/m 1'
_space_group_IT_number 12
_space_group_name_Hall '-C 2y'
loop_
_atom_site_label
_atom_site_type_symbol
_atom_site_fract_x
_atom_site_fract_y
_atom_site_fract_z
_atom_site_occupancy
Ac1 Ac 0.0010 0.0000 0.2687 1
Ac2 Ac 0.1680 0.5000 0.5815 1
Ac3 Ac 0.1720 0.5000 0.0897 1
Si1 Si 0.1628 0.0000 0.3263 1
S1 S 0.0000 0.5000 0.5000 1
S2 S 0.1653 0.0000 0.8367 1
Cl1 Cl 0.0000 0.5000 0.0000 1
```

Summary:
E, eV for the cell shown: -134.89
Magnetization, μB/f.u.: 0.0
Formation energy without anion corrections, eV/atom: -1.4768
Density of states at the Fermi level, states/eV per cell: 8.96

***

Entry 2:
# Ac4SiSCl2

A geometry-optimized Ac4SiSCl2 structure (PBE, the Alexandria database).

The structure in CIF format:
```
data_Ac4SiSCl2
_cell_length_a 7.6002
_cell_length_b 4.4788
_cell_length_c 7.6383
_cell_angle_alpha 90.00
_cell_angle_beta 110.17
_cell_angle_gamma 90.00
_space_group_name_H-M_alt 'P 1 2/m 1'
_space_group_IT_number 10
_space_group_name_Hall '-P 2y'
loop_
_atom_site_label
_atom_site_type_symbol
_atom_site_fract_x
_atom_site_fract_y
_atom_site_fract_z
_atom_site_occupancy
Ac1 Ac 0.2392 0.0000 0.2246 1
Ac2 Ac 0.2536 0.5000 0.7715 1
Si1 Si 0.5000 0.0000 0.0000 1
S1 S 0.0000 0.5000 0.0000 1
Cl1 Cl 0.0000 0.0000 0.5000 1
Cl2 Cl 0.5000 0.5000 0.5000 1
```

Summary:
E, eV for the cell shown: -41.25
Magnetization, μB/f.u.: 0.0
Formation energy without anion corrections, eV/atom: -1.4463
Density of states at the Fermi level, states/eV per cell: 4.12

***

| no. | V (Å³/atom) |
| --- | --- |
| 1 | 30.7 |
| 2 | 30.5 |